Entry 1:
A relaxed AgTeIrN2 crystal. Source: Alexandria, functional PBE-GGA.

Structure (CIF):
```
data_AgTeIrN2
_cell_length_a 3.8495
_cell_length_b 3.8495
_cell_length_c 5.9578
_cell_angle_alpha 90.00
_cell_angle_beta 90.00
_cell_angle_gamma 90.00
_space_group_name_H-M_alt 'P 1'
_space_group_IT_number 1
loop_
_space_group_symop_operation_xyz
'x,y,z'
loop_
_atom_site_label
_atom_site_fract_x
_atom_site_fract_y
_atom_site_fract_z
Ag1 0.0000 0.0000 0.0000
Te1 0.5000 0.5000 0.0000
Ir1 0.5000 0.5000 0.5000
N1 0.0000 0.5000 0.5000
N2 0.5000 0.0000 0.5000
```

Summary:
- Symmetry: P4/mmm
- Calculated density: 8.6 g/cm3
- Energy relative to the elements, uncorrected: 0.80 eV/atom
- Polymorph energy (0 for the lowest one): 0 meV/atom
- Magnetic moment: 0.00 μB per cell

---

Entry 2:
A relaxed AgTeIrN2 crystal. Source: Alexandria, functional PBE-GGA.

Structure (CIF):
```
data_AgTeIrN2
_cell_length_a 3.9251
_cell_length_b 3.9251
_cell_length_c 6.7461
_cell_angle_alpha 90.00
_cell_angle_beta 90.00
_cell_angle_gamma 90.00
_space_group_name_H-M_alt 'P 1'
_space_group_IT_number 1
loop_
_space_group_symop_operation_xyz
'x,y,z'
loop_
_atom_site_label
_atom_site_fract_x
_atom_site_fract_y
_atom_site_fract_z
Ag1 0.0000 0.0000 0.0000
Te1 0.0000 0.0000 0.5000
Ir1 0.5000 0.5000 0.5000
N1 0.0000 0.5000 0.0000
N2 0.5000 0.0000 0.0000
```

Summary:
- Symmetry: P4/mmm
- Calculated density: 7.3 g/cm3
- Energy relative to the elements, uncorrected: 2.14 eV/atom
- Polymorph energy (0 for the lowest one): 1334 meV/atom
- Magnetic moment: 3.64 μB per cell

---

Entry 3:
A relaxed AgTe2IrN crystal. Source: Alexandria, functional PBE-GGA.

Structure (CIF):
```
data_AgTe2IrN
_cell_length_a 5.3984
_cell_length_b 5.3984
_cell_length_c 3.7369
_cell_angle_alpha 90.00
_cell_angle_beta 90.00
_cell_angle_gamma 90.00
_space_group_name_H-M_alt 'P 1'
_space_group_IT_number 1
loop_
_space_group_symop_operation_xyz
'x,y,z'
loop_
_atom_site_label
_atom_site_fract_x
_atom_site_fract_y
_atom_site_fract_z
Ag1 0.0000 0.0000 0.0000
Te1 0.0000 0.5000 0.0000
Te2 0.5000 0.0000 0.0000
Ir1 0.5000 0.5000 0.5000
N1 0.0000 0.0000 0.5000
```

Summary:
- Symmetry: P4/mmm
- Calculated density: 8.7 g/cm3
- Energy relative to the elements, uncorrected: 1.62 eV/atom
- Polymorph energy (0 for the lowest one): 1254 meV/atom
- Magnetic moment: 0.00 μB per cell

---

Entry 4:
A relaxed YAg2IrN crystal. Source: Alexandria, functional PBE-GGA.

Structure (CIF):
```
data_YAg2IrN
_cell_length_a 4.2835
_cell_length_b 4.2835
_cell_length_c 4.6808
_cell_angle_alpha 90.00
_cell_angle_beta 90.00
_cell_angle_gamma 90.00
_space_group_name_H-M_alt 'P 1'
_space_group_IT_number 1
loop_
_space_group_symop_operation_xyz
'x,y,z'
loop_
_atom_site_label
_atom_site_fract_x
_atom_site_fract_y
_atom_site_fract_z
Y1 0.0000 0.0000 0.0000
Ag1 0.0000 0.5000 0.5000
Ag2 0.5000 0.0000 0.5000
Ir1 0.5000 0.5000 0.0000
N1 0.0000 0.0000 0.5000
```

Summary:
- Symmetry: P4/mmm
- Calculated density: 9.9 g/cm3
- Energy relative to the elements, uncorrected: 0.18 eV/atom
- Magnetic moment: 0.00 μB per cell